Below is a geometry-optimized CsInSn2Br8 structure, with properties calculated at the PBE-GGA level.

Lattice parameters (Å, degrees): 6.9452 7.7811 9.9243 74.04 80.01 78.64
Last column: nearest neighbours and their distance in Å.
Fractional coordinates of all 12 atoms:
Cs1 0.0000 0.0000 0.5000  8 Br 3.64-4.07
In1 0.0000 0.0000 0.0000  6 Br 2.62-2.90
Sn1 0.4570 0.4318 0.7390  3 Br 2.73-2.84
Sn2 0.5430 0.5682 0.2610  3 Br 2.73-2.84
Br1 0.1466 0.7236 0.2374  1 Sn 2.80, 1 In 2.90
Br2 0.7124 0.7963 0.0118  1 In 2.75, 1 Sn 2.84
Br3 0.7756 0.1779 0.1740  1 In 2.62
Br4 0.8534 0.2764 0.7626  1 Sn 2.80, 1 In 2.90
Br5 0.2876 0.2037 0.9882  1 In 2.75, 1 Sn 2.84
Br6 0.2244 0.8221 0.8260  1 In 2.62
Br7 0.5702 0.7459 0.4567  1 Sn 2.73
Br8 0.4298 0.2541 0.5433  1 Sn 2.73

Output
Formation energy (no corrections) = -0.919 eV/atom